Model P:
DFT (PBE) results for a relaxed structure of Ga2TcGe2. Values from VASP.

The structure in Quantum ESPRESSO input format:
```
&SYSTEM
  ibrav = 0, nat = 5, ntyp = 3
/
ATOMIC_SPECIES
Ga 69.72 Ga.upf
Tc 98.00 Tc.upf
Ge 72.64 Ge.upf
CELL_PARAMETERS angstrom
-1.7364 1.7364 7.1597
1.7364 -1.7364 7.1597
1.7364 1.7364 -7.1597
ATOMIC_POSITIONS crystal
Ga 0.2500 0.7500 0.5000
Ga 0.7500 0.2500 0.5000
Tc 0.0000 0.0000 0.0000
Ge 0.4094 0.4094 0.0000
Ge 0.5906 0.5906 0.0000
```



Model Q:
DFT (PBE) results for a relaxed structure of Ga2TcGe2. Values from VASP.

The structure in Quantum ESPRESSO input format:
```
&SYSTEM
  ibrav = 0, nat = 5, ntyp = 3
/
ATOMIC_SPECIES
Ga 69.72 Ga.upf
Tc 98.00 Tc.upf
Ge 72.64 Ge.upf
CELL_PARAMETERS angstrom
-1.7624 1.7624 6.9648
1.7624 -1.7624 6.9648
1.7624 1.7624 -6.9648
ATOMIC_POSITIONS crystal
Ga 0.0882 0.0882 0.0000
Ga 0.9118 0.9118 0.0000
Tc 0.5000 0.5000 0.0000
Ge 0.2500 0.7500 0.5000
Ge 0.7500 0.2500 0.5000
```



Most stable pick: model P. Distance to second place: 5.9 kJ/mol of atoms.



Model P:
DFT (PBE) results for a relaxed structure of GaGeW. Values from VASP.

The structure in Quantum ESPRESSO input format:
```
&SYSTEM
  ibrav = 0, nat = 3, ntyp = 3
/
ATOMIC_SPECIES
Ga 69.72 Ga.upf
Ge 72.64 Ge.upf
W 183.84 W.upf
CELL_PARAMETERS angstrom
0.0000 3.0596 3.0596
3.0596 0.0000 3.0596
3.0596 3.0596 0.0000
ATOMIC_POSITIONS crystal
Ga 0.0000 0.0000 0.0000
Ge 0.5000 0.5000 0.5000
W 0.2500 0.2500 0.2500
```



Model Q:
DFT (PBE) results for a relaxed structure of GaGeW. Values from VASP.

The structure in Quantum ESPRESSO input format:
```
&SYSTEM
  ibrav = 0, nat = 3, ntyp = 3
/
ATOMIC_SPECIES
Ga 69.72 Ga.upf
Ge 72.64 Ge.upf
W 183.84 W.upf
CELL_PARAMETERS angstrom
0.0000 3.0001 3.0001
3.0001 0.0000 3.0001
3.0001 3.0001 0.0000
ATOMIC_POSITIONS crystal
Ga 0.0000 0.0000 0.0000
Ge 0.2500 0.2500 0.2500
W 0.5000 0.5000 0.5000
```



Most stable pick: model P. Distance to second place: 15.2 kJ/mol of atoms.



Model P:
DFT (PBE) results for a relaxed structure of LiHfGaPt. Values from VASP.

The structure in Quantum ESPRESSO input format:
```
&SYSTEM
  ibrav = 0, nat = 4, ntyp = 4
/
ATOMIC_SPECIES
Li 6.94 Li.upf
Hf 178.49 Hf.upf
Ga 69.72 Ga.upf
Pt 195.08 Pt.upf
CELL_PARAMETERS angstrom
0.0000 3.1498 3.1498
3.1498 0.0000 3.1498
3.1498 3.1498 0.0000
ATOMIC_POSITIONS crystal
Li 0.0000 0.0000 0.0000
Hf 0.2500 0.2500 0.2500
Ga 0.7500 0.7500 0.7500
Pt 0.5000 0.5000 0.5000
```



Model Q:
DFT (PBE) results for a relaxed structure of LiHfGaPt. Values from VASP.

The structure in Quantum ESPRESSO input format:
```
&SYSTEM
  ibrav = 0, nat = 4, ntyp = 4
/
ATOMIC_SPECIES
Li 6.94 Li.upf
Hf 178.49 Hf.upf
Ga 69.72 Ga.upf
Pt 195.08 Pt.upf
CELL_PARAMETERS angstrom
0.0000 3.1328 3.1328
3.1328 0.0000 3.1328
3.1328 3.1328 0.0000
ATOMIC_POSITIONS crystal
Li 0.0000 0.0000 0.0000
Hf 0.7500 0.7500 0.7500
Ga 0.5000 0.5000 0.5000
Pt 0.2500 0.2500 0.2500
```



Model R:
DFT (PBE) results for a relaxed structure of LiHfGaPt. Values from VASP.

The structure in Quantum ESPRESSO input format:
```
&SYSTEM
  ibrav = 0, nat = 4, ntyp = 4
/
ATOMIC_SPECIES
Li 6.94 Li.upf
Hf 178.49 Hf.upf
Ga 69.72 Ga.upf
Pt 195.08 Pt.upf
CELL_PARAMETERS angstrom
0.0000 3.1973 3.1973
3.1973 0.0000 3.1973
3.1973 3.1973 0.0000
ATOMIC_POSITIONS crystal
Li 0.0000 0.0000 0.0000
Hf 0.5000 0.5000 0.5000
Ga 0.7500 0.7500 0.7500
Pt 0.2500 0.2500 0.2500
```



Most stable pick: model P. Distance to second place: 15.4 kJ/mol of atoms.



Model P:
DFT (PBE) results for a relaxed structure of HfMgGaNi. Values from VASP.

The structure in Quantum ESPRESSO input format:
```
&SYSTEM
  ibrav = 0, nat = 4, ntyp = 4
/
ATOMIC_SPECIES
Hf 178.49 Hf.upf
Mg 24.30 Mg.upf
Ga 69.72 Ga.upf
Ni 58.69 Ni.upf
CELL_PARAMETERS angstrom
0.0000 3.1723 3.1723
3.1723 0.0000 3.1723
3.1723 3.1723 0.0000
ATOMIC_POSITIONS crystal
Hf 0.0000 0.0000 0.0000
Mg 0.2500 0.2500 0.2500
Ga 0.5000 0.5000 0.5000
Ni 0.7500 0.7500 0.7500
```



Model Q:
DFT (PBE) results for a relaxed structure of HfMgGaNi. Values from VASP.

The structure in Quantum ESPRESSO input format:
```
&SYSTEM
  ibrav = 0, nat = 4, ntyp = 4
/
ATOMIC_SPECIES
Hf 178.49 Hf.upf
Mg 24.30 Mg.upf
Ga 69.72 Ga.upf
Ni 58.69 Ni.upf
CELL_PARAMETERS angstrom
0.0000 3.1909 3.1909
3.1909 0.0000 3.1909
3.1909 3.1909 0.0000
ATOMIC_POSITIONS crystal
Hf 0.0000 0.0000 0.0000
Mg 0.7500 0.7500 0.7500
Ga 0.2500 0.2500 0.2500
Ni 0.5000 0.5000 0.5000
```



Most stable pick: model P. Distance to second place: 11.5 kJ/mol of atoms.



Model P:
DFT (PBE) results for a relaxed structure of HfGa2Mo2. Values from VASP.

The structure in Quantum ESPRESSO input format:
```
&SYSTEM
  ibrav = 0, nat = 5, ntyp = 3
/
ATOMIC_SPECIES
Hf 178.49 Hf.upf
Ga 69.72 Ga.upf
Mo 95.94 Mo.upf
CELL_PARAMETERS angstrom
-2.1093 2.1093 5.2266
2.1093 -2.1093 5.2266
2.1093 2.1093 -5.2266
ATOMIC_POSITIONS crystal
Hf 0.0000 0.0000 0.0000
Ga 0.2500 0.7500 0.5000
Ga 0.7500 0.2500 0.5000
Mo 0.3941 0.3941 0.0000
Mo 0.6059 0.6059 0.0000
```



Model Q:
DFT (PBE) results for a relaxed structure of HfGa2Mo2. Values from VASP.

The structure in Quantum ESPRESSO input format:
```
&SYSTEM
  ibrav = 0, nat = 5, ntyp = 3
/
ATOMIC_SPECIES
Hf 178.49 Hf.upf
Ga 69.72 Ga.upf
Mo 95.94 Mo.upf
CELL_PARAMETERS angstrom
-1.9053 1.9053 5.8595
1.9053 -1.9053 5.8595
1.9053 1.9053 -5.8595
ATOMIC_POSITIONS crystal
Hf 0.0000 0.0000 0.0000
Ga 0.4016 0.4016 0.0000
Ga 0.5984 0.5984 0.0000
Mo 0.2500 0.7500 0.5000
Mo 0.7500 0.2500 0.5000
```



Most stable pick: model Q. Distance to second place: 40.5 kJ/mol of atoms.



Model P:
DFT (PBE) results for a relaxed structure of HfGaNO. Values from VASP.

The structure in Quantum ESPRESSO input format:
```
&SYSTEM
  ibrav = 0, nat = 16, ntyp = 4
/
ATOMIC_SPECIES
Hf 178.49 Hf.upf
Ga 69.72 Ga.upf
N 14.01 N.upf
O 16.00 O.upf
CELL_PARAMETERS angstrom
5.5437 0.0000 0.0000
0.0000 7.2464 0.0000
0.0000 0.0000 5.0789
ATOMIC_POSITIONS crystal
Hf 0.0471 0.1070 0.0000
Hf 0.4529 0.1070 0.5000
Hf 0.5471 0.8930 0.0000
Hf 0.9529 0.8930 0.5000
Ga 0.0930 0.6013 0.9443
Ga 0.4070 0.6013 0.4443
Ga 0.5930 0.3987 0.9443
Ga 0.9070 0.3987 0.4443
N 0.0789 0.6146 0.5648
N 0.4211 0.6146 0.0648
N 0.5789 0.3854 0.5648
N 0.9211 0.3854 0.0648
O 0.0976 0.1938 0.5733
O 0.4024 0.1938 0.0733
O 0.5976 0.8062 0.5733
O 0.9024 0.8062 0.0733
```



Model Q:
DFT (PBE) results for a relaxed structure of HfGaNO. Values from VASP.

The structure in Quantum ESPRESSO input format:
```
&SYSTEM
  ibrav = 0, nat = 8, ntyp = 4
/
ATOMIC_SPECIES
Hf 178.49 Hf.upf
Ga 69.72 Ga.upf
N 14.01 N.upf
O 16.00 O.upf
CELL_PARAMETERS angstrom
3.3404 0.0000 0.0000
0.0000 3.3404 0.0000
0.0000 0.0000 8.5231
ATOMIC_POSITIONS crystal
Hf 0.2500 0.2500 0.1529
Hf 0.7500 0.7500 0.8471
Ga 0.2500 0.7500 0.5000
Ga 0.7500 0.2500 0.5000
N 0.2500 0.2500 0.7429
N 0.7500 0.7500 0.2571
O 0.2500 0.7500 0.0000
O 0.7500 0.2500 0.0000
```



Model R:
DFT (PBE) results for a relaxed structure of HfGaNO. Values from VASP.

The structure in Quantum ESPRESSO input format:
```
&SYSTEM
  ibrav = 0, nat = 8, ntyp = 4
/
ATOMIC_SPECIES
Hf 178.49 Hf.upf
Ga 69.72 Ga.upf
N 14.01 N.upf
O 16.00 O.upf
CELL_PARAMETERS angstrom
3.3818 0.0000 0.0000
0.0000 5.4104 0.0000
0.0000 0.0000 6.5956
ATOMIC_POSITIONS crystal
Hf 0.0000 0.1509 0.0000
Hf 0.0000 0.8491 0.5000
Ga 0.5000 0.3145 0.4319
Ga 0.5000 0.6855 0.9319
N 0.5000 0.3639 0.0569
N 0.5000 0.6361 0.5569
O 0.0000 0.1212 0.7011
O 0.0000 0.8788 0.2011
```



Most stable pick: model R. Distance to second place: 20.2 kJ/mol of atoms.



Model P:
DFT (PBE) results for a relaxed structure of HfGaNO. Values from VASP.

The structure in Quantum ESPRESSO input format:
```
&SYSTEM
  ibrav = 0, nat = 16, ntyp = 4
/
ATOMIC_SPECIES
Hf 178.49 Hf.upf
Ga 69.72 Ga.upf
N 14.01 N.upf
O 16.00 O.upf
CELL_PARAMETERS angstrom
6.2878 0.0000 0.0000
0.0000 6.6423 0.0000
0.0000 0.0000 5.1654
ATOMIC_POSITIONS crystal
Hf 0.0789 0.1492 0.0000
Hf 0.4211 0.1492 0.5000
Hf 0.5789 0.8508 0.0000
Hf 0.9211 0.8508 0.5000
Ga 0.1420 0.6685 0.9711
Ga 0.3580 0.6685 0.4711
Ga 0.6420 0.3315 0.9711
Ga 0.8580 0.3315 0.4711
N 0.0970 0.1112 0.6018
N 0.4030 0.1112 0.1018
N 0.5970 0.8888 0.6018
N 0.9030 0.8888 0.1018
O 0.0762 0.4253 0.1544
O 0.4238 0.4253 0.6544
O 0.5762 0.5747 0.1544
O 0.9238 0.5747 0.6544
```



Model Q:
DFT (PBE) results for a relaxed structure of HfGaNO. Values from VASP.

The structure in Quantum ESPRESSO input format:
```
&SYSTEM
  ibrav = 0, nat = 8, ntyp = 4
/
ATOMIC_SPECIES
Hf 178.49 Hf.upf
Ga 69.72 Ga.upf
N 14.01 N.upf
O 16.00 O.upf
CELL_PARAMETERS angstrom
3.6350 0.0000 0.0000
0.0000 7.8018 0.0000
0.0000 0.0000 4.4824
ATOMIC_POSITIONS crystal
Hf 0.0000 0.1357 0.0000
Hf 0.0000 0.8643 0.5000
Ga 0.5000 0.3446 0.5001
Ga 0.5000 0.6554 0.0001
N 0.0000 0.1260 0.4879
N 0.0000 0.8740 0.9879
O 0.5000 0.2462 0.9777
O 0.5000 0.7538 0.4777
```



Model R:
DFT (PBE) results for a relaxed structure of HfGaNO. Values from VASP.

The structure in Quantum ESPRESSO input format:
```
&SYSTEM
  ibrav = 0, nat = 8, ntyp = 4
/
ATOMIC_SPECIES
Hf 178.49 Hf.upf
Ga 69.72 Ga.upf
N 14.01 N.upf
O 16.00 O.upf
CELL_PARAMETERS angstrom
4.0066 0.0000 0.0000
0.0000 4.0066 0.0000
0.0000 0.0000 6.6812
ATOMIC_POSITIONS crystal
Hf 0.2500 0.7500 0.0000
Hf 0.7500 0.2500 0.0000
Ga 0.2500 0.2500 0.3909
Ga 0.7500 0.7500 0.6091
N 0.2500 0.2500 0.8929
N 0.7500 0.7500 0.1071
O 0.2500 0.7500 0.5000
O 0.7500 0.2500 0.5000
```



Most stable pick: model Q. Distance to second place: 3.4 kJ/mol of atoms.



Model P:
DFT (PBE) results for a relaxed structure of HfGaNiPd. Values from VASP.

The structure in Quantum ESPRESSO input format:
```
&SYSTEM
  ibrav = 0, nat = 4, ntyp = 4
/
ATOMIC_SPECIES
Hf 178.49 Hf.upf
Ga 69.72 Ga.upf
Ni 58.69 Ni.upf
Pd 106.42 Pd.upf
CELL_PARAMETERS angstrom
0.0000 3.1371 3.1371
3.1371 0.0000 3.1371
3.1371 3.1371 0.0000
ATOMIC_POSITIONS crystal
Hf 0.0000 0.0000 0.0000
Ga 0.5000 0.5000 0.5000
Ni 0.7500 0.7500 0.7500
Pd 0.2500 0.2500 0.2500
```



Model Q:
DFT (PBE) results for a relaxed structure of HfGaNiPd. Values from VASP.

The structure in Quantum ESPRESSO input format:
```
&SYSTEM
  ibrav = 0, nat = 4, ntyp = 4
/
ATOMIC_SPECIES
Hf 178.49 Hf.upf
Ga 69.72 Ga.upf
Ni 58.69 Ni.upf
Pd 106.42 Pd.upf
CELL_PARAMETERS angstrom
0.0000 3.1494 3.1494
3.1494 0.0000 3.1494
3.1494 3.1494 0.0000
ATOMIC_POSITIONS crystal
Hf 0.0000 0.0000 0.0000
Ga 0.2500 0.2500 0.2500
Ni 0.5000 0.5000 0.5000
Pd 0.7500 0.7500 0.7500
```



Most stable pick: model P. Distance to second place: 21.0 kJ/mol of atoms.



Model P:
DFT (PBE) results for a relaxed structure of HfGaNiPt. Values from VASP.

The structure in Quantum ESPRESSO input format:
```
&SYSTEM
  ibrav = 0, nat = 4, ntyp = 4
/
ATOMIC_SPECIES
Hf 178.49 Hf.upf
Ga 69.72 Ga.upf
Ni 58.69 Ni.upf
Pt 195.08 Pt.upf
CELL_PARAMETERS angstrom
0.0000 3.1617 3.1617
3.1617 0.0000 3.1617
3.1617 3.1617 0.0000
ATOMIC_POSITIONS crystal
Hf 0.0000 0.0000 0.0000
Ga 0.2500 0.2500 0.2500
Ni 0.5000 0.5000 0.5000
Pt 0.7500 0.7500 0.7500
```



Model Q:
DFT (PBE) results for a relaxed structure of HfGaNiPt. Values from VASP.

The structure in Quantum ESPRESSO input format:
```
&SYSTEM
  ibrav = 0, nat = 4, ntyp = 4
/
ATOMIC_SPECIES
Hf 178.49 Hf.upf
Ga 69.72 Ga.upf
Ni 58.69 Ni.upf
Pt 195.08 Pt.upf
CELL_PARAMETERS angstrom
0.0000 3.1503 3.1503
3.1503 0.0000 3.1503
3.1503 3.1503 0.0000
ATOMIC_POSITIONS crystal
Hf 0.0000 0.0000 0.0000
Ga 0.5000 0.5000 0.5000
Ni 0.7500 0.7500 0.7500
Pt 0.2500 0.2500 0.2500
```



Most stable pick: model Q. Distance to second place: 20.1 kJ/mol of atoms.



Model P:
DFT (PBE) results for a relaxed structure of HfGaPO. Values from VASP.

The structure in Quantum ESPRESSO input format:
```
&SYSTEM
  ibrav = 0, nat = 8, ntyp = 4
/
ATOMIC_SPECIES
Hf 178.49 Hf.upf
Ga 69.72 Ga.upf
P 30.97 P.upf
O 16.00 O.upf
CELL_PARAMETERS angstrom
3.5487 0.0000 0.0000
0.0000 3.5487 0.0000
0.0000 0.0000 9.7869
ATOMIC_POSITIONS crystal
Hf 0.2500 0.2500 0.1265
Hf 0.7500 0.7500 0.8735
Ga 0.2500 0.7500 0.5000
Ga 0.7500 0.2500 0.5000
P 0.2500 0.2500 0.7378
P 0.7500 0.7500 0.2622
O 0.2500 0.7500 0.0000
O 0.7500 0.2500 0.0000
```



Model Q:
DFT (PBE) results for a relaxed structure of HfGaPO. Values from VASP.

The structure in Quantum ESPRESSO input format:
```
&SYSTEM
  ibrav = 0, nat = 8, ntyp = 4
/
ATOMIC_SPECIES
Hf 178.49 Hf.upf
Ga 69.72 Ga.upf
P 30.97 P.upf
O 16.00 O.upf
CELL_PARAMETERS angstrom
5.1095 0.0000 0.0000
0.0000 5.1095 0.0000
0.0000 0.0000 4.6468
ATOMIC_POSITIONS crystal
Hf 0.2500 0.7500 0.0000
Hf 0.7500 0.2500 0.0000
Ga 0.2500 0.2500 0.4091
Ga 0.7500 0.7500 0.5909
P 0.2500 0.2500 0.8939
P 0.7500 0.7500 0.1061
O 0.2500 0.7500 0.5000
O 0.7500 0.2500 0.5000
```



Model R:
DFT (PBE) results for a relaxed structure of HfGaPO. Values from VASP.

The structure in Quantum ESPRESSO input format:
```
&SYSTEM
  ibrav = 0, nat = 8, ntyp = 4
/
ATOMIC_SPECIES
Hf 178.49 Hf.upf
Ga 69.72 Ga.upf
P 30.97 P.upf
O 16.00 O.upf
CELL_PARAMETERS angstrom
3.7672 0.0000 0.0000
0.0000 7.7766 0.0000
0.0000 0.0000 5.6311
ATOMIC_POSITIONS crystal
Hf 0.0000 0.1628 0.0000
Hf 0.0000 0.8372 0.5000
Ga 0.5000 0.3589 0.3678
Ga 0.5000 0.6411 0.8678
P 0.5000 0.3330 0.7991
P 0.5000 0.6670 0.2991
O 0.0000 0.0393 0.3068
O 0.0000 0.9607 0.8068
```



Model S:
DFT (PBE) results for a relaxed structure of HfGaPO. Values from VASP.

The structure in Quantum ESPRESSO input format:
```
&SYSTEM
  ibrav = 0, nat = 8, ntyp = 4
/
ATOMIC_SPECIES
Hf 178.49 Hf.upf
Ga 69.72 Ga.upf
P 30.97 P.upf
O 16.00 O.upf
CELL_PARAMETERS angstrom
3.8233 0.0000 0.0000
0.0000 7.6037 0.0000
0.0000 0.0000 5.2368
ATOMIC_POSITIONS crystal
Hf 0.0000 0.1402 0.0000
Hf 0.0000 0.8598 0.5000
Ga 0.5000 0.4023 0.5238
Ga 0.5000 0.5977 0.0238
P 0.0000 0.1992 0.4982
P 0.0000 0.8008 0.9982
O 0.5000 0.2046 0.9967
O 0.5000 0.7954 0.4967
```



Most stable pick: model P. Distance to second place: 7.1 kJ/mol of atoms.



Model P:
DFT (PBE) results for a relaxed structure of PmHfGa. Values from VASP.

The structure in Quantum ESPRESSO input format:
```
&SYSTEM
  ibrav = 0, nat = 3, ntyp = 3
/
ATOMIC_SPECIES
Pm 145.00 Pm.upf
Hf 178.49 Hf.upf
Ga 69.72 Ga.upf
CELL_PARAMETERS angstrom
0.0000 3.3900 3.3900
3.3900 0.0000 3.3900
3.3900 3.3900 0.0000
ATOMIC_POSITIONS crystal
Pm 0.0000 0.0000 0.0000
Hf 0.5000 0.5000 0.5000
Ga 0.7500 0.7500 0.7500
```



Model Q:
DFT (PBE) results for a relaxed structure of PmHfGa. Values from VASP.

The structure in Quantum ESPRESSO input format:
```
&SYSTEM
  ibrav = 0, nat = 3, ntyp = 3
/
ATOMIC_SPECIES
Pm 145.00 Pm.upf
Hf 178.49 Hf.upf
Ga 69.72 Ga.upf
CELL_PARAMETERS angstrom
0.0000 3.4920 3.4920
3.4920 0.0000 3.4920
3.4920 3.4920 0.0000
ATOMIC_POSITIONS crystal
Pm 0.0000 0.0000 0.0000
Hf 0.2500 0.2500 0.2500
Ga 0.7500 0.7500 0.7500
```



Most stable pick: model P. Distance to second place: 75.7 kJ/mol of atoms.